Record 1
An optimized crystal structure of MgRhAu4, computed with GGA-PBE.

```
MgRhAu4
1.0
0.000 3.839 3.839
3.839 0.000 3.839
3.839 3.839 0.000
Mg Rh Au
1 1 4
Direct
0.000 0.000 0.000
0.750 0.750 0.750
0.375 0.375 0.375
0.375 0.375 0.875
0.375 0.875 0.375
0.875 0.375 0.375
```

Summary:
Space group: F-43m (216)
N(E_F): 0.575 states/eV/atom
Crystal system: cubic
Energy of formation from the pure elements: 45 meV/atom

---

Record 2
An optimized crystal structure of Mg4RhAu, computed with GGA-PBE.

```
Mg4RhAu
1.0
0.000 3.813 3.813
3.813 0.000 3.813
3.813 3.813 0.000
Mg Rh Au
4 1 1
Direct
0.125 0.125 0.125
0.125 0.125 0.625
0.125 0.625 0.125
0.625 0.125 0.125
0.750 0.750 0.750
0.500 0.500 0.500
```

Summary:
Space group: F-43m (216)
N(E_F): 0.635 states/eV/atom
Crystal system: cubic
Energy of formation from the pure elements: 82 meV/atom

---

Record 3
An optimized crystal structure of MgRh2Au, computed with GGA-PBE.

```
MgRh2Au
1.0
1.431 0.826 8.936
-1.431 0.826 8.936
0.000 -1.653 8.936
Mg Rh Au
1 2 1
Direct
0.000 0.000 0.000
0.253 0.253 0.253
0.508 0.508 0.508
0.753 0.753 0.753
```

Summary:
Space group: R3m (160)
N(E_F): 1.306 states/eV/atom
Crystal system: trigonal
Energy of formation from the pure elements: -46 meV/atom

---

Record 4
An optimized crystal structure of Mg2RhAuS, computed with GGA-PBE.

```
Mg2RhAuS
1.0
4.900 0.000 0.000
0.000 4.900 0.000
0.000 0.000 4.907
Mg Rh Au S
2 1 1 1
Direct
0.000 0.500 0.000
0.500 0.000 0.000
0.000 0.000 0.000
0.000 0.000 0.500
0.500 0.500 0.500
```

Summary:
Space group: P4/mmm (123)
N(E_F): 0.715 states/eV/atom
Crystal system: tetragonal
E: -16.27 eV per cell

---

Record 5
An optimized crystal structure of MgSbRh2Au, computed with GGA-PBE.

```
MgSbRh2Au
1.0
5.028 0.000 0.000
0.000 5.028 0.000
0.000 0.000 5.012
Mg Sb Rh Au
1 1 2 1
Direct
0.000 0.000 0.000
0.500 0.500 0.000
0.000 0.500 0.500
0.500 0.000 0.500
0.500 0.500 0.500
```

Summary:
Space group: P4/mmm (123)
N(E_F): 2.090 states/eV/atom
Crystal system: tetragonal
E: -18.71 eV per cell

---

Record 6
An optimized crystal structure of Mg2ScRhAu, computed with GGA-PBE.

```
Mg2ScRhAu
1.0
5.465 0.000 0.000
0.000 5.465 0.000
0.000 0.000 4.450
Mg Sc Rh Au
2 1 1 1
Direct
0.000 0.500 0.000
0.500 0.000 0.000
0.000 0.000 0.000
0.000 0.000 0.500
0.500 0.500 0.500
```

Summary:
Space group: P4/mmm (123)
N(E_F): 0.574 states/eV/atom
Crystal system: tetragonal
Energy of formation from the pure elements: 775 meV/atom

---

Record 7
An optimized crystal structure of Mg2Si2Rh5Au, computed with GGA-PBE.

```
Mg2Si2Rh5Au
1.0
9.639 0.000 0.000
0.000 9.639 0.000
0.000 0.000 3.350
Mg Si Rh Au
4 4 10 2
Direct
0.172 0.328 0.000
0.328 0.828 0.000
0.672 0.172 0.000
0.828 0.672 0.000
0.128 0.628 0.000
0.372 0.128 0.000
0.628 0.872 0.000
0.872 0.372 0.000
0.000 0.500 0.500
0.073 0.787 0.500
0.213 0.073 0.500
0.287 0.573 0.500
0.427 0.287 0.500
0.500 0.000 0.500
0.573 0.713 0.500
0.713 0.427 0.500
0.787 0.927 0.500
0.927 0.213 0.500
0.000 0.000 0.000
0.500 0.500 0.000
```

Summary:
Space group: P4/mbm (127)
N(E_F): 0.410 states/eV/atom
Crystal system: tetragonal
E: -119.90 eV per cell

---

Record 8
An optimized crystal structure of SmMgRhAu, computed with GGA-PBE.

```
SmMgRhAu
1.0
0.000 3.435 3.435
3.435 0.000 3.435
3.435 3.435 0.000
Sm Mg Rh Au
1 1 1 1
Direct
0.000 0.000 0.000
0.500 0.500 0.500
0.750 0.750 0.750
0.250 0.250 0.250
```

Summary:
Space group: F-43m (216)
N(E_F): 0.679 states/eV/atom
Crystal system: cubic
Energy of formation from the pure elements: -612 meV/atom

---

Record 9
An optimized crystal structure of MgSnRhAu2, computed with GGA-PBE.

```
MgSnRhAu2
1.0
5.166 0.000 0.000
0.000 5.166 0.000
0.000 0.000 4.857
Mg Sn Rh Au
1 1 1 2
Direct
0.000 0.000 0.000
0.500 0.500 0.000
0.500 0.500 0.500
0.000 0.500 0.500
0.500 0.000 0.500
```

Summary:
Space group: P4/mmm (123)
N(E_F): 0.654 states/eV/atom
Crystal system: tetragonal
Energy of formation from the pure elements: 320 meV/atom

---

Record 10
An optimized crystal structure of Mg5Sn2Rh2Au, computed with GGA-PBE.

```
Mg5Sn2Rh2Au
1.0
9.591 0.000 0.000
0.000 9.591 0.000
0.000 0.000 4.165
Mg Sn Rh Au
10 4 4 2
Direct
0.000 0.500 0.000
0.078 0.201 0.000
0.201 0.922 0.000
0.299 0.422 0.000
0.422 0.701 0.000
0.500 0.000 0.000
0.578 0.299 0.000
0.701 0.578 0.000
0.799 0.078 0.000
0.922 0.799 0.000
0.170 0.670 0.500
0.330 0.170 0.500
0.670 0.830 0.500
0.830 0.330 0.500
0.121 0.379 0.500
0.379 0.879 0.500
0.621 0.121 0.500
0.879 0.621 0.500
0.000 0.000 0.500
0.500 0.500 0.500
```

Summary:
Space group: P4/mbm (127)
N(E_F): 0.538 states/eV/atom
Crystal system: tetragonal
Energy of formation from the pure elements: -383 meV/atom

---

Record 11
An optimized crystal structure of MgSnRhAu, computed with GGA-PBE.

```
MgSnRhAu
1.0
0.000 3.279 3.279
3.279 0.000 3.279
3.279 3.279 0.000
Mg Sn Rh Au
1 1 1 1
Direct
0.000 0.000 0.000
0.500 0.500 0.500
0.250 0.250 0.250
0.750 0.750 0.750
```

Summary:
Space group: F-43m (216)
N(E_F): 0.690 states/eV/atom
Crystal system: cubic
Energy of formation from the pure elements: -380 meV/atom

---

Record 12
An optimized crystal structure of Sr2Mg6RhAu, computed with GGA-PBE.

```
Sr2Mg6RhAu
1.0
-3.642 3.652 5.144
3.642 -3.652 5.144
3.642 3.652 -5.144
Sr Mg Rh Au
2 6 1 1
Direct
0.250 0.250 0.000
0.750 0.750 0.000
0.255 0.244 0.500
0.255 0.755 0.500
0.255 0.756 0.011
0.745 0.244 0.989
0.745 0.245 0.500
0.745 0.756 0.500
0.500 0.000 0.500
0.000 0.500 0.500
```

Summary:
Space group: Immm (71)
N(E_F): 0.701 states/eV/atom
Crystal system: orthorhombic
Energy of formation from the pure elements: -259 meV/atom

---

Record 13
An optimized crystal structure of TbMgRhAu, computed with GGA-PBE.

```
TbMgRhAu
1.0
0.000 3.395 3.395
3.395 0.000 3.395
3.395 3.395 0.000
Tb Mg Rh Au
1 1 1 1
Direct
0.000 0.000 0.000
0.500 0.500 0.500
0.750 0.750 0.750
0.250 0.250 0.250
```

Summary:
Space group: F-43m (216)
N(E_F): 0.616 states/eV/atom
Crystal system: cubic
Energy of formation from the pure elements: -671 meV/atom

---

Record 14
An optimized crystal structure of MgTlRhAu, computed with GGA-PBE.

```
MgTlRhAu
1.0
0.000 3.309 3.309
3.309 0.000 3.309
3.309 3.309 0.000
Mg Tl Rh Au
1 1 1 1
Direct
0.000 0.000 0.000
0.500 0.500 0.500
0.250 0.250 0.250
0.750 0.750 0.750
```

Summary:
Space group: F-43m (216)
N(E_F): 0.657 states/eV/atom
Crystal system: cubic
Energy of formation from the pure elements: -155 meV/atom

---

Record 15
An optimized crystal structure of TmMgRhAu, computed with GGA-PBE.

```
TmMgRhAu
1.0
0.000 3.354 3.354
3.354 0.000 3.354
3.354 3.354 0.000
Tm Mg Rh Au
1 1 1 1
Direct
0.000 0.000 0.000
0.500 0.500 0.500
0.750 0.750 0.750
0.250 0.250 0.250
```

Summary:
Space group: F-43m (216)
N(E_F): 0.598 states/eV/atom
Crystal system: cubic
Energy of formation from the pure elements: -721 meV/atom

---

Record 16
An optimized crystal structure of MgVRhAu, computed with GGA-PBE.

```
MgVRhAu
1.0
0.000 3.161 3.161
3.161 0.000 3.161
3.161 3.161 0.000
Mg V Rh Au
1 1 1 1
Direct
0.000 0.000 0.000
0.500 0.500 0.500
0.250 0.250 0.250
0.750 0.750 0.750
```

Summary:
Space group: F-43m (216)
N(E_F): 0.929 states/eV/atom
Crystal system: cubic
Energy of formation from the pure elements: -229 meV/atom

---

Record 17
An optimized crystal structure of YMgRhAu2, computed with GGA-PBE.

```
YMgRhAu2
1.0
5.185 0.000 0.000
0.000 5.185 0.000
0.000 0.000 4.896
Y Mg Rh Au
1 1 1 2
Direct
0.000 0.000 0.000
0.500 0.500 0.000
0.000 0.000 0.500
0.000 0.500 0.500
0.500 0.000 0.500
```

Summary:
Space group: P4/mmm (123)
N(E_F): 0.470 states/eV/atom
Crystal system: tetragonal
Energy of formation from the pure elements: 77 meV/atom

---

Record 18
An optimized crystal structure of MgZn2RhAu, computed with GGA-PBE.

```
MgZn2RhAu
1.0
4.680 0.000 0.000
0.000 4.680 0.000
0.000 0.000 4.729
Mg Zn Rh Au
1 2 1 1
Direct
0.000 0.000 0.000
0.000 0.500 0.000
0.500 0.000 0.000
0.500 0.500 0.500
0.000 0.000 0.500
```

Summary:
Space group: P4/mmm (123)
N(E_F): 0.688 states/eV/atom
Crystal system: tetragonal
Energy of formation from the pure elements: 961 meV/atom

---

Record 19
An optimized crystal structure of Mg2ZnRhAu, computed with GGA-PBE.

```
Mg2ZnRhAu
1.0
4.908 0.000 0.000
0.000 4.908 0.000
0.000 0.000 4.736
Mg Zn Rh Au
2 1 1 1
Direct
0.000 0.500 0.000
0.500 0.000 0.000
0.000 0.000 0.500
0.500 0.500 0.500
0.000 0.000 0.000
```

Summary:
Space group: P4/mmm (123)
N(E_F): 0.442 states/eV/atom
Crystal system: tetragonal
Energy of formation from the pure elements: 372 meV/atom

---

Record 20
An optimized crystal structure of MgZrRhAu, computed with GGA-PBE.

```
MgZrRhAu
1.0
0.000 3.299 3.299
3.299 0.000 3.299
3.299 3.299 0.000
Mg Zr Rh Au
1 1 1 1
Direct
0.000 0.000 0.000
0.500 0.500 0.500
0.250 0.250 0.250
0.750 0.750 0.750
```

Summary:
Space group: F-43m (216)
N(E_F): 0.804 states/eV/atom
Crystal system: cubic
Energy of formation from the pure elements: -608 meV/atom

---

Record 21
An optimized crystal structure of MgRu2Au, computed with GGA-PBE.

```
MgRu2Au
1.0
2.667 -4.136 0.000
2.667 4.136 0.000
0.000 0.000 2.824
Mg Ru Au
1 2 1
Direct
0.000 0.000 0.000
0.000 0.500 0.500
0.500 0.000 0.500
0.500 0.500 0.000
```

Summary:
Space group: Cmmm (65)
N(E_F): 1.422 states/eV/atom
Crystal system: orthorhombic
Energy of formation from the pure elements: 249 meV/atom

---

Record 22
An optimized crystal structure of MgRu2Au, computed with GGA-PBE.

```
MgRu2Au
1.0
4.521 -1.428 0.000
4.521 1.428 0.000
-0.790 0.000 4.848
Mg Ru Au
1 2 1
Direct
0.000 0.000 0.000
0.242 0.242 0.690
0.503 0.503 0.524
0.752 0.752 0.205
```

Summary:
Space group: Cm (8)
N(E_F): 0.998 states/eV/atom
Crystal system: monoclinic
Energy of formation from the pure elements: 73 meV/atom

---

Record 23
An optimized crystal structure of MgRu2Au, computed with GGA-PBE.

```
MgRu2Au
1.0
2.864 0.000 0.000
0.000 2.864 0.000
0.000 0.000 7.687
Mg Ru Au
1 2 1
Direct
0.000 0.000 0.000
0.000 0.000 0.462
0.500 0.500 0.255
0.500 0.500 0.736
```

Summary:
Space group: P4mm (99)
N(E_F): 0.788 states/eV/atom
Crystal system: tetragonal
Energy of formation from the pure elements: -49 meV/atom

---

Record 24
An optimized crystal structure of MgRu2Au, computed with GGA-PBE.

```
MgRu2Au
1.0
-1.537 2.281 4.457
1.537 -2.281 4.457
1.537 2.281 -4.457
Mg Ru Au
1 2 1
Direct
0.000 0.000 0.000
0.252 0.752 0.500
0.486 0.486 0.000
0.748 0.248 0.500
```

Summary:
Space group: Imm2 (44)
N(E_F): 0.951 states/eV/atom
Crystal system: orthorhombic
Energy of formation from the pure elements: 189 meV/atom

---

Record 25
An optimized crystal structure of MgRu2Au, computed with GGA-PBE.

```
MgRu2Au
1.0
-1.462 2.267 4.768
1.462 -2.267 4.768
1.462 2.267 -4.768
Mg Ru Au
1 2 1
Direct
0.000 0.000 0.000
0.251 0.751 0.500
0.749 0.249 0.500
0.500 0.500 0.000
```

Summary:
Space group: Immm (71)
N(E_F): 1.335 states/eV/atom
Crystal system: orthorhombic
Energy of formation from the pure elements: 221 meV/atom

---

Record 26
An optimized crystal structure of MgRu2Au, computed with GGA-PBE.

```
MgRu2Au
1.0
-3.711 3.711 2.529
3.711 -3.711 2.529
3.711 3.711 -2.529
Mg Ru Au
2 4 2
Direct
0.000 0.000 0.000
0.750 0.250 0.500
0.136 0.125 0.511
0.375 0.864 0.989
0.614 0.625 0.489
0.875 0.386 0.011
0.250 0.750 0.500
0.500 0.500 0.000
```

Summary:
Space group: I-42d (122)
N(E_F): 1.571 states/eV/atom
Crystal system: tetragonal
Energy of formation from the pure elements: 679 meV/atom

---

Record 27
An optimized crystal structure of MgRu2Au, computed with GGA-PBE.

```
MgRu2Au
1.0
0.000 3.151 3.151
3.151 0.000 3.151
3.151 3.151 0.000
Mg Ru Au
1 2 1
Direct
0.000 0.000 0.000
0.500 0.500 0.500
0.750 0.750 0.750
0.250 0.250 0.250
```

Summary:
Space group: F-43m (216)
N(E_F): 1.105 states/eV/atom
Crystal system: cubic
Energy of formation from the pure elements: 192 meV/atom